# 1
A relaxed structure of LaTb5Nd2Th, computed with PBE.

Lattice parameters (Å, degrees): 5.6878 10.4448 10.6285 90.00 90.00 105.80
Positions (direct):
La 0.5849 0.1697 0.9497
La 0.4151 0.8303 0.4497
Tb 0.3865 0.7730 0.0237
Tb 0.7228 0.4456 0.8171
Tb 0.4798 0.9597 0.7368
Tb 0.2962 0.5924 0.7083
Tb 0.9836 0.9672 0.5259
Tb 0.6135 0.2270 0.5237
Tb 0.2772 0.5544 0.3171
Tb 0.5202 0.0403 0.2368
Tb 0.7038 0.4076 0.2083
Tb 0.0164 0.0328 0.0259
Nd 0.8860 0.7720 0.8195
Nd 0.1155 0.2310 0.7297
Nd 0.1140 0.2280 0.3195
Nd 0.8845 0.7690 0.2297
Th 0.7976 0.5952 0.5133
Th 0.2024 0.4048 0.0133

Values from the calculation:
The calculation puts the formation energy at 140 kJ/mol of formula units.

# 2
A relaxed structure of NaNd2SnO5, computed with PBE.

Lattice parameters (Å, degrees): 6.2119 6.8404 6.8404 90.00 90.00 90.00
Each line ends with the local moment (μB).
Positions (direct):
Na 0.0000 0.5000 0.5000  0.01
Na 0.0000 0.0000 0.0000  0.01
Nd 0.5000 0.6775 0.1775  0.03
Nd 0.5000 0.1775 0.3225  0.03
Nd 0.5000 0.8225 0.6775  0.03
Nd 0.5000 0.3225 0.8225  0.03
Sn 0.0000 0.0000 0.5000  0.21
Sn 0.0000 0.5000 0.0000  0.21
O 0.5000 0.5000 0.5000  0.01
O 0.5000 0.0000 0.0000  0.01
O 0.2566 0.1410 0.6410  0.10
O 0.2566 0.8590 0.3590  0.10
O 0.2566 0.3590 0.1410  0.10
O 0.2566 0.6410 0.8590  0.10
O 0.7434 0.1410 0.6410  0.10
O 0.7434 0.6410 0.8590  0.10
O 0.7434 0.8590 0.3590  0.10
O 0.7434 0.3590 0.1410  0.10

Values from the calculation:
The calculation puts the total energy at -119.55 eV for the cell shown.

# 3
A relaxed structure of Dy4GeBr5, computed with PBE.

Lattice parameters (Å, degrees): 4.0511 8.3978 9.2756 102.18 102.61 90.00
Positions (direct):
Dy 0.3474 0.9219 0.6948
Dy 0.9994 0.7762 0.9988
Dy 0.6526 0.0781 0.3052
Dy 0.0006 0.2238 0.0012
Ge 0.5000 0.0000 0.0000
Br 0.8332 0.6716 0.6664
Br 0.8277 0.1638 0.6555
Br 0.1723 0.8362 0.3445
Br 0.5000 0.5000 0.0000
Br 0.1668 0.3284 0.3336

Values from the calculation:
The calculation puts the total energy at -45.94 eV for the cell shown.

# 4
A relaxed structure of K3MnTl, computed with PBE.

Lattice parameters (Å, degrees): 6.6903 6.6903 6.6903 90.00 90.00 90.00
Each line ends with the local moment (μB).
Positions (direct):
Tl 0.0000 0.0000 0.0000  0.00
Mn 0.5000 0.5000 0.5000  -4.46
K 0.0000 0.5000 0.0000  0.00
K 0.0000 0.0000 0.5000  0.00
K 0.5000 0.0000 0.0000  0.00

Values from the calculation:
The calculation puts the formation energy at 342 kJ/mol of formula units. The value obtained for the energy relative to the lowest polymorph listed for this composition is 0.00 eV per formula unit.

Number 1: total moment 0.00 μB/f.u.. Number 2: total moment 0.88 μB/f.u.. Number 3: total moment 0.00 μB/f.u.. Number 4: total moment 4.83 μB/f.u..